[1]
# ZnAgIr2 (PBE-GGA, relaxed)
data_ZnAgIr2
_chemical_formula_sum 'Zn1 Ag1 Ir2'
_symmetry_space_group_name_H-M 'P 4 m m'
_symmetry_Int_Tables_number 99
_cell_length_a 2.769
_cell_length_b 2.769
_cell_length_c 7.962
_cell_angle_alpha 90.00
_cell_angle_beta 90.00
_cell_angle_gamma 90.00
loop_
_symmetry_equiv_pos_as_xyz
'x,y,z'
'-y,x,z'
'-x,-y,z'
'y,-x,z'
'-x,y,z'
'y,x,z'
'x,-y,z'
'-y,-x,z'
loop_
_atom_site_label
_atom_site_type_symbol
_atom_site_fract_x
_atom_site_fract_y
_atom_site_fract_z
Zn1 Zn 0.000 0.000 0.000
Ag1 Ag 0.500 0.500 0.260
Ir1 Ir 0.000 0.000 0.535
Ir2 Ir 0.500 0.500 0.762
# **DOS(E_F)**: 2.412 states/eV per cell

=====

[2]
# LiP2Rh2 (PBE-GGA, relaxed)
data_LiP2Rh2
_chemical_formula_sum 'Li2 P4 Rh4'
_symmetry_space_group_name_H-M 'P 4/m b m'
_symmetry_Int_Tables_number 127
_symmetry_space_group_name_Hall '-P 4 2ab'
_cell_length_a 7.042
_cell_length_b 7.042
_cell_length_c 2.830
_cell_angle_alpha 90.00
_cell_angle_beta 90.00
_cell_angle_gamma 90.00
loop_
_atom_site_label
_atom_site_type_symbol
_atom_site_fract_x
_atom_site_fract_y
_atom_site_fract_z
Li1 Li 0.000 0.000 0.000
P1 P 0.158 0.342 0.500
Rh1 Rh 0.141 0.641 0.000
# **DOS(E_F)**: 10.204 states/eV per cell

=====

[3]
# Sb2TeOsRu (PBE-GGA, relaxed)
data_Sb2TeOsRu
_chemical_formula_sum 'Sb2 Te1 Os1 Ru1'
_symmetry_space_group_name_H-M 'P 4/m m m'
_symmetry_Int_Tables_number 123
_symmetry_space_group_name_Hall '-P 4 2'
_cell_length_a 4.972
_cell_length_b 4.972
_cell_length_c 5.077
_cell_angle_alpha 90.00
_cell_angle_beta 90.00
_cell_angle_gamma 90.00
loop_
_atom_site_label
_atom_site_type_symbol
_atom_site_fract_x
_atom_site_fract_y
_atom_site_fract_z
Sb1 Sb 0.000 0.500 0.000
Te1 Te 0.000 0.000 0.500
Os1 Os 0.500 0.500 0.500
Ru1 Ru 0.000 0.000 0.000
# **Energy relative to the elements, uncorrected**: 1335 meV/atom
# **Polymorph energy (0 for the lowest one)**: 37 meV/atom
# **DOS(E_F)**: 5.502 states/eV per cell

=====

[4]
# TeSeBr2 (PBE-GGA, relaxed)
data_TeSeBr2
_chemical_formula_sum 'Te2 Se2 Br4'
_symmetry_space_group_name_H-M 'I m m 2'
_symmetry_Int_Tables_number 44
_cell_length_a 3.723
_cell_length_b 5.622
_cell_length_c 11.983
_cell_angle_alpha 90.00
_cell_angle_beta 90.00
_cell_angle_gamma 90.00
loop_
_symmetry_equiv_pos_as_xyz
'x,y,z'
'-x,-y,z'
'-x,y,z'
'x,-y,z'
'x+1/2,y+1/2,z+1/2'
'-x+1/2,-y+1/2,z+1/2'
'-x+1/2,y+1/2,z+1/2'
'x+1/2,-y+1/2,z+1/2'
loop_
_atom_site_label
_atom_site_type_symbol
_atom_site_fract_x
_atom_site_fract_y
_atom_site_fract_z
Te1 Te 0.000 0.000 0.000
Se1 Se 0.000 0.500 0.342
Br1 Br 0.000 0.000 0.513
Br2 Br 0.000 0.500 0.694
# **Energy relative to the elements, uncorrected**: 79 meV/atom
# **Polymorph energy (0 for the lowest one)**: 246 meV/atom
# **DOS(E_F)**: 9.001 states/eV per cell

=====

[5]
# PrAgGeTe3 (PBE-GGA, relaxed)
data_PrAgGeTe3
_chemical_formula_sum 'Pr2 Ag2 Ge2 Te6'
_symmetry_space_group_name_H-M 'P 1 21/m 1'
_symmetry_Int_Tables_number 11
_cell_length_a 8.772
_cell_length_b 4.292
_cell_length_c 9.688
_cell_angle_alpha 90.00
_cell_angle_beta 101.74
_cell_angle_gamma 90.00
loop_
_symmetry_equiv_pos_as_xyz
'x,y,z'
'-x,-y,-z'
'-x,y+1/2,-z'
'x,-y+1/2,z'
loop_
_atom_site_label
_atom_site_type_symbol
_atom_site_fract_x
_atom_site_fract_y
_atom_site_fract_z
Pr1 Pr 0.178 0.250 0.243
Ag1 Ag 0.081 0.250 0.582
Ge1 Ge 0.336 0.750 0.854
Te1 Te 0.101 0.250 0.879
Te2 Te 0.264 0.750 0.501
Te3 Te 0.421 0.750 0.152
# **Energy relative to the elements, uncorrected**: -642 meV/atom

=====

The evaluated total DFT energy (no corrections) for the records listed, in turn: -21.68, -59.09, -25.22, -19.31, -51.05 eV/cell.